# 1
Cs2SnGeSb | GGA-PBE | relaxed

Structure (POSCAR):
```
Cs2SnGeSb
1.0
7.519 0.000 0.000
0.000 7.519 0.000
0.000 0.000 5.019
Sn Sb Ge Cs
1 1 1 2
direct
0.000 0.000 0.000
0.500 0.500 0.500
0.000 0.000 0.500
0.500 0.000 0.000
0.000 0.500 0.000
```

Results
Energy relative to the elements, uncorrected: 0.33 eV per atom
Crystal system: tetragonal

***

# 2
HfZrCdRe | GGA-PBE | relaxed

Structure (POSCAR):
```
HfZrCdRe
1.0
4.795 0.000 0.000
2.397 4.152 0.000
2.397 1.384 3.915
Hf Re Zr Cd
1 1 1 1
direct
0.000 0.000 0.000
0.750 0.750 0.750
0.500 0.500 0.500
0.250 0.250 0.250
```

Results
Crystal system: cubic
Formation energy: -43 kJ/mol of formula units

***

# 3
LaGdCoRh | GGA-PBE | relaxed

Structure (POSCAR):
```
LaGdCoRh
1.0
-1.797 1.210 4.444
-3.390 -2.877 2.163
1.208 -2.687 3.970
La Gd Rh Co
1 1 1 1
direct
0.500 0.500 0.500
0.000 0.000 0.000
0.750 0.750 0.750
0.250 0.250 0.250
```

Results
Crystal system: cubic
Formation energy: -137 kJ/mol of formula units

***

# 4
LaSm2IO4 | GGA-PBE | relaxed

Structure (POSCAR):
```
LaSm2IO4
1.0
-3.754 0.299 1.588
-1.051 -3.502 -1.826
2.914 -4.951 7.819
Sm I O La
2 1 4 1
direct
0.500 0.500 0.251
0.500 0.500 0.749
0.000 0.000 0.500
0.000 0.500 0.154
0.500 0.000 0.154
0.000 0.500 0.846
0.500 0.000 0.846
0.000 0.000 0.000
```

Results
Energy relative to the elements, uncorrected: -3.10 eV per atom
Crystal system: tetragonal

***

# 5
Ta2CdPt | GGA-PBE | relaxed

Structure (POSCAR):
```
Ta2CdPt
1.0
5.780 -0.007 -0.007
2.876 5.014 0.007
-3.622 -3.724 2.534
Pt Cd Ta
1 1 2
direct
0.233 0.733 0.500
0.486 0.486 0.000
0.772 0.272 0.500
0.010 0.010 0.000
```

Results
Crystal system: orthorhombic
Formation energy: -15 kJ/mol of formula units

***

# 6
CsBaMoRh2 | GGA-PBE | relaxed

Structure (POSCAR):
```
CsBaMoRh2
1.0
5.255 0.000 0.000
0.000 6.330 0.000
0.000 0.000 5.255
Rh Ba Mo Cs
2 1 1 1
direct
0.000 0.000 0.500
0.500 0.000 0.000
0.000 0.000 0.000
0.500 0.500 0.500
0.000 0.500 0.000
```

Results
Crystal system: tetragonal
Formation energy: 952 kJ/mol of formula units

***

# 7
LiPa3Se8 | GGA-PBE | relaxed

Structure (POSCAR):
```
LiPa3Se8
1.0
8.404 0.000 0.000
-4.202 7.278 0.000
0.000 0.000 12.342
Se Pa Li
16 6 2
direct
0.841 0.683 0.103
0.487 0.513 0.336
0.333 0.667 0.094
0.975 0.487 0.836
0.025 0.513 0.336
0.317 0.159 0.103
0.841 0.159 0.103
0.159 0.841 0.603
0.159 0.317 0.603
0.513 0.025 0.836
0.000 0.000 0.838
0.683 0.841 0.603
0.513 0.487 0.836
0.000 0.000 0.338
0.667 0.333 0.594
0.487 0.975 0.336
0.167 0.333 0.217
0.833 0.667 0.717
0.667 0.833 0.217
0.333 0.167 0.717
0.167 0.833 0.217
0.833 0.167 0.717
0.333 0.667 0.458
0.667 0.333 0.958
```

Results
Energy relative to the elements, uncorrected: -1.27 eV per atom
Crystal system: hexagonal

***

no.,VASP energy (eV per atom),total moment (μB per formula unit)
1,-2.561,2.04
2,-8.078,0.00
3,-8.722,6.38
4,-7.573,0.00
5,-7.704,0.00
6,-3.689,5.14
7,-6.125,0.00